# 1
{
  "formula": "Sc3H12Rh5",
  "functional": "PBE",
  "state": "relaxed",
  "lattice_angstrom": [[-3.7000, 8.6963, 1.9289], [-6.8306, -6.7189, 1.1116], [7.2969, -1.8024, 6.0451]],
  "species": ["Sc", "Sc", "Sc", "Sc", "Sc", "Sc", "Sc", "Sc", "Sc", "Sc", "Sc", "Sc", "Rh", "Rh", "Rh", "Rh", "Rh", "Rh", "Rh", "Rh", "Rh", "Rh", "Rh", "Rh", "Rh", "Rh", "Rh", "Rh", "Rh", "Rh", "Rh", "Rh", "H", "H", "H", "H", "H", "H", "H", "H", "H", "H", "H", "H", "H", "H", "H", "H", "H", "H", "H", "H", "H", "H", "H", "H", "H", "H", "H", "H", "H", "H", "H", "H", "H", "H", "H", "H", "H", "H", "H", "H", "H", "H", "H", "H", "H", "H", "H", "H"],
  "frac_coords": [[0.7500, 0.3750, 0.1250], [0.8750, 0.7500, 0.1250], [0.3750, 0.7500, 0.6250], [0.2500, 0.1250, 0.3750], [0.8750, 0.1250, 0.2500], [0.3750, 0.6250, 0.2500], [0.6250, 0.3750, 0.7500], [0.1250, 0.8750, 0.7500], [0.7500, 0.8750, 0.6250], [0.6250, 0.2500, 0.3750], [0.1250, 0.2500, 0.8750], [0.2500, 0.6250, 0.8750], [0.1250, 0.3750, 0.2500], [0.0000, 0.5000, 0.0000], [0.0000, 0.0000, 0.0000], [0.3750, 0.2500, 0.1250], [0.5000, 0.0000, 0.5000], [0.5000, 0.5000, 0.0000], [0.1250, 0.7500, 0.3750], [0.7500, 0.1250, 0.8750], [0.7500, 0.6250, 0.3750], [0.3750, 0.1250, 0.7500], [0.6250, 0.8750, 0.2500], [0.5000, 0.5000, 0.5000], [0.5000, 0.0000, 0.0000], [0.0000, 0.0000, 0.5000], [0.2500, 0.3750, 0.6250], [0.2500, 0.8750, 0.1250], [0.0000, 0.5000, 0.5000], [0.8750, 0.2500, 0.6250], [0.6250, 0.7500, 0.8750], [0.8750, 0.6250, 0.7500], [0.7052, 0.1187, 0.0346], [0.3294, 0.5346, 0.4158], [0.9654, 0.3813, 0.2948], [0.5346, 0.2052, 0.1187], [0.5865, 0.7052, 0.6706], [0.9654, 0.5842, 0.1706], [0.3294, 0.7948, 0.4135], [0.0842, 0.9135, 0.1187], [0.5842, 0.9654, 0.6706], [0.7052, 0.5865, 0.1706], [0.7948, 0.4654, 0.3813], [0.8294, 0.9158, 0.0346], [0.1187, 0.7052, 0.5346], [0.3813, 0.4158, 0.0865], [0.0865, 0.9158, 0.3813], [0.4135, 0.1187, 0.5842], [0.0865, 0.1706, 0.2052], [0.4654, 0.6706, 0.0842], [0.8294, 0.9135, 0.2948], [0.1187, 0.4135, 0.0842], [0.3813, 0.9654, 0.7948], [0.5842, 0.6187, 0.4135], [0.9158, 0.8294, 0.5346], [0.7948, 0.3294, 0.9135], [0.4158, 0.3813, 0.5865], [0.0842, 0.1706, 0.4654], [0.2052, 0.6706, 0.0865], [0.1706, 0.0865, 0.7052], [0.6187, 0.0346, 0.2052], [0.8813, 0.5865, 0.9158], [0.5346, 0.3294, 0.9158], [0.5865, 0.8813, 0.4158], [0.9135, 0.8294, 0.7948], [0.9135, 0.0842, 0.6187], [0.8813, 0.2948, 0.4654], [0.1706, 0.0842, 0.9654], [0.6187, 0.5842, 0.9135], [0.4158, 0.0346, 0.3294], [0.2948, 0.4135, 0.8294], [0.2052, 0.5346, 0.6187], [0.9158, 0.0865, 0.8813], [0.6706, 0.2052, 0.5865], [0.4654, 0.7948, 0.8813], [0.0346, 0.4158, 0.8294], [0.4135, 0.2948, 0.3294], [0.0346, 0.6187, 0.7052], [0.6706, 0.4654, 0.5842], [0.2948, 0.8813, 0.9654]],
  "spacegroup": "Ia-3d (230)",
  "magnetic_moment_mub_per_atom": 0.000
}

# 2
{
  "formula": "Dy4HgRuRh2",
  "functional": "PBE",
  "state": "relaxed",
  "lattice_angstrom": [[4.9265, 0.0000, 0.0000], [2.4633, 4.2665, 0.0000], [2.4633, 1.4222, 8.1229]],
  "species": ["Dy", "Dy", "Dy", "Dy", "Hg", "Ru", "Rh", "Rh"],
  "frac_coords": [[0.3821, 0.3821, 0.8536], [0.8705, 0.8705, 0.3884], [0.1295, 0.1295, 0.6116], [0.6179, 0.6179, 0.1464], [0.0000, 0.0000, 0.0000], [0.5000, 0.5000, 0.5000], [0.7518, 0.7518, 0.7446], [0.2482, 0.2482, 0.2554]],
  "e_form_ev_per_atom": -0.63,
  "spacegroup": "R-3m (166)",
  "magnetic_moment_mub_per_atom": 0.000
}

# 3
{
  "formula": "AcCdAs2Pd5",
  "functional": "PBE",
  "state": "relaxed",
  "lattice_angstrom": [[-3.6332, -2.3190, -2.0621], [2.0059, -4.1775, 1.1637], [-4.1536, 0.0337, 7.2804]],
  "species": ["Ac", "Cd", "As", "As", "Pd", "Pd", "Pd", "Pd", "Pd"],
  "frac_coords": [[0.0000, 0.0000, 0.5000], [0.0000, 0.0000, 0.0000], [0.5000, 0.5000, 0.2139], [0.5000, 0.5000, 0.7861], [0.0000, 0.5000, 0.1806], [0.5000, 0.0000, 0.1806], [0.0000, 0.5000, 0.8194], [0.5000, 0.0000, 0.8194], [0.5000, 0.5000, 0.5000]],
  "e_form_ev_per_atom": -0.45,
  "spacegroup": "P4/mmm (123)",
  "magnetic_moment_mub_per_atom": 0.000
}

# 4
{
  "formula": "TlCdIn2Hg7",
  "functional": "PBE",
  "state": "relaxed",
  "lattice_angstrom": [[4.3220, 0.0000, 0.0000], [0.0000, 4.3220, 0.0000], [0.0000, 0.0000, 18.5516]],
  "species": ["Tl", "Cd", "In", "In", "Hg", "Hg", "Hg", "Hg", "Hg", "Hg", "Hg"],
  "frac_coords": [[0.0000, 0.0000, 0.5000], [0.0000, 0.0000, 0.0000], [0.5000, 0.5000, 0.2621], [0.5000, 0.5000, 0.7379], [0.5000, 0.5000, 0.5802], [0.0000, 0.5000, 0.1416], [0.5000, 0.0000, 0.1416], [0.0000, 0.5000, 0.8584], [0.5000, 0.0000, 0.8584], [0.5000, 0.5000, 0.4198], [0.5000, 0.5000, 0.0000]],
  "e_form_ev_per_atom": 0.10,
  "spacegroup": "P4/mmm (123)",
  "magnetic_moment_mub_per_atom": 0.000
}

# 5
{
  "formula": "TlZn4Mo",
  "functional": "PBE",
  "state": "relaxed",
  "lattice_angstrom": [[0.0000, 3.6901, 3.6901], [3.6901, 0.0000, 3.6901], [3.6901, 3.6901, 0.0000]],
  "species": ["Tl", "Zn", "Zn", "Zn", "Zn", "Mo"],
  "frac_coords": [[0.0000, 0.0000, 0.0000], [0.8709, 0.3764, 0.3764], [0.3764, 0.3764, 0.8709], [0.3764, 0.8709, 0.3764], [0.3764, 0.3764, 0.3764], [0.7500, 0.7500, 0.7500]],
  "e_form_ev_per_atom": 0.39,
  "spacegroup": "F-43m (216)",
  "magnetic_moment_mub_per_atom": 0.400
}

# 6
{
  "formula": "BaHgPb2",
  "functional": "PBE",
  "state": "relaxed",
  "lattice_angstrom": [[-7.0825, 7.3313, -1.6304], [-8.3430, 4.4253, -4.1687], [-9.3868, 4.2888, -0.2485]],
  "species": ["Pb", "Pb", "Hg", "Ba"],
  "frac_coords": [[0.0146, 0.0146, 0.0146], [0.4854, 0.4854, 0.4854], [0.7500, 0.7500, 0.7500], [0.2500, 0.2500, 0.2500]],
  "e_form_ev_per_atom": -0.02,
  "spacegroup": "R-3m (166)",
  "magnetic_moment_mub_per_atom": 0.000
}

| no. | uncorrected energy (eV per atom) |
| --- | --- |
| 1 | -5.16 |
| 2 | -5.97 |
| 3 | -4.93 |
| 4 | -0.89 |
| 5 | -2.66 |
| 6 | -2.43 |